# 1
CrSbPb | GGA-PBEsol | optimized geometry

Lattice parameters (Å, degrees): 3.338 3.338 12.582 90.00 90.00 90.00
Space group I4mm (No. 107)
One atom of each set of equivalent atoms:
Cr 0.000 0.000 0.000 x2
Sb 0.000 0.000 0.620 x2
Pb 0.000 0.000 0.346 x2

Calculated values
- E above lowest polymorph: 0 meV per atom
- Crystal system: tetragonal
- Mass density: 9.0 g/cm³
- Uncorrected formation energy: 370 meV per atom

# 2
CrSbTe2Pb | GGA-PBEsol | optimized geometry

Lattice parameters (Å, degrees): 5.751 5.751 5.637 90.00 90.00 90.00
Space group P4/mmm (No. 123)
One atom of each set of equivalent atoms:
Cr 0.000 0.000 0.000 x1
Sb 0.500 0.500 0.000 x1
Te 0.000 0.500 0.500 x2
Pb 0.500 0.500 0.500 x1

Calculated values
- Crystal system: tetragonal
- Mass density: 5.7 g/cm³
- Uncorrected formation energy: 1187 meV per atom

# 3
ScCr2Pb | GGA-PBEsol | optimized geometry

Lattice parameters (Å, degrees): 4.350 4.350 7.592 90.00 90.00 90.00
Space group I-4m2 (No. 119)
One atom of each set of equivalent atoms:
Sc 0.000 0.000 0.000 x2
Cr 0.000 0.000 0.500 x2
Cr 0.000 0.500 0.250 x2
Pb 0.000 0.500 0.750 x2

Calculated values
- Crystal system: tetragonal
- Total DFT energy (no corrections): -7.446 eV per atom
- Mass density: 8.2 g/cm³

# 4
ScCr2Pb | GGA-PBEsol | optimized geometry

Lattice parameters (Å, degrees): 3.1255 3.1255 27.5819 90.00 90.00 120.00
Space group R-3m (No. 166, hexagonal axes)
One atom of each set of equivalent atoms:
Sc 0.0000 0.0000 0.0000 x3
Cr 0.0000 0.0000 0.2530 x6
Pb 0.0000 0.0000 0.5000 x3

Calculated values
- Crystal system: trigonal
- Total DFT energy (no corrections): -7.033 eV per atom
- Mass density: 7.6 g/cm³

# 5
ScTiCrPb2 | GGA-PBEsol | optimized geometry

Lattice parameters (Å, degrees): 5.309 5.309 4.669 90.00 90.00 90.00
Space group P4/mmm (No. 123)
One atom of each set of equivalent atoms:
Sc 0.000 0.000 0.000 x1
Ti 0.000 0.000 0.500 x1
Cr 0.500 0.500 0.000 x1
Pb 0.000 0.500 0.500 x2

Calculated values
- Crystal system: tetragonal
- Total DFT energy (no corrections): -5.828 eV per atom
- Mass density: 7.1 g/cm³

# 6
ScTlCrPb2 | GGA-PBEsol | optimized geometry

Lattice parameters (Å, degrees): 5.187 5.187 4.691 90.00 90.00 90.00
Space group P4/mmm (No. 123)
One atom of each set of equivalent atoms:
Sc 0.000 0.000 0.000 x1
Tl 0.500 0.500 0.000 x1
Cr 0.000 0.000 0.500 x1
Pb 0.000 0.500 0.500 x2

Calculated values
- Crystal system: tetragonal
- Total DFT energy (no corrections): -5.178 eV per atom
- Mass density: 9.4 g/cm³

# 7
CrPbSe4 | GGA-PBEsol | optimized geometry

Lattice parameters (Å, degrees): 8.123 8.123 8.123 90.00 90.00 90.00
Space group F-43m (No. 216)
One atom of each set of equivalent atoms:
Cr 0.000 0.000 0.000 x4
Pb 0.250 0.250 0.250 x4
Se 0.126 0.126 0.626 x16

Calculated values
- Crystal system: cubic
- Mass density: 7.1 g/cm³
- Uncorrected formation energy: 575 meV per atom

# 8
CrSi4Pb | GGA-PBEsol | optimized geometry

Lattice parameters (Å, degrees): 7.393 7.393 7.393 90.00 90.00 90.00
Space group F-43m (No. 216)
One atom of each set of equivalent atoms:
Cr 0.000 0.000 0.000 x4
Si 0.126 0.126 0.374 x16
Pb 0.250 0.250 0.750 x4

Calculated values
- Crystal system: cubic
- Mass density: 6.1 g/cm³
- Uncorrected formation energy: 551 meV per atom